## YErGe2 (PBE-GGA)

Data for an optimized crystal structure of YErGe2.

Calculated values
Formation energy: -0.659 eV per atom

Structure (CIF):
```
data_YErGe2
_chemical_formula_sum 'Y3 Er3 Ge6'
_symmetry_space_group_name_H-M 'R -3 m'
_symmetry_Int_Tables_number 166
_symmetry_space_group_name_Hall '-R 3 2"'
_cell_length_a 4.1523
_cell_length_b 4.1523
_cell_length_c 20.0508
_cell_angle_alpha 90.00
_cell_angle_beta 90.00
_cell_angle_gamma 120.00
loop_
_atom_site_label
_atom_site_fract_x
_atom_site_fract_y
_atom_site_fract_z
_atom_site_occupancy
Y1 0.0000 0.0000 0.0000 1
Er1 0.0000 0.0000 0.5000 1
Ge1 0.0000 0.0000 0.2484 1
```